Entry 1:
Nd5MgAl4 after structural relaxation, computed with PBE.

Unit cell a=3.7348 b=3.7348 c=19.0987 alpha=90.00 beta=90.00 gamma=90.00
With the nearest neighbours (Å) after each atom.
Space group P4/mmm (No. 123)
Asymmetric unit:
1 Nd 0.0000 0.0000 0.0000 x1  8 Al 3.23
2 Nd 0.0000 0.0000 0.1946 x2  8 Al 3.23-3.26
3 Nd 0.0000 0.0000 0.3898 x2  4 Al 3.20, 4 Mg 3.38
4 Mg 0.5000 0.5000 0.5000 x1  8 Nd 3.38, 4 Mg 3.73
5 Al 0.5000 0.5000 0.0973 x2  8 Nd 3.23
6 Al 0.5000 0.5000 0.2948 x2  8 Nd 3.20-3.26

Entry 2:
BeNi3Sn after structural relaxation, computed with PBE.

Properties
The energy above the lowest structure with this stoichiometry is 1314 meV per atom.

Unit cell a=4.6030 b=4.6030 c=4.6030 alpha=90.00 beta=90.00 gamma=90.00
With the nearest neighbours (Å) after each atom.
Space group Pm-3m (No. 221)
Asymmetric unit:
1 Be 0.0000 0.0000 0.0000 x1  12 Ni 3.25
2 Ni 0.0000 0.5000 0.5000 x3  2 Sn 2.30
3 Sn 0.5000 0.5000 0.5000 x1  6 Ni 2.30

Computed values of energy of formation (unit: meV/atom) for the preceding records, in sequence: -301.5; 1326.8.